The following is a PBE calculation of a geometry-optimized Y4Ga16Au3 structure, from Alexandria.

Properties
Its total energy is -0.150 Ha/atom. The crystal system is tetragonal.

POSCAR file:
```
Y4Ga16Au3
1.0
6.378 0.000 0.000
0.000 6.378 0.000
0.000 0.000 11.086
Y Ga Au
4 16 3
Cartesian
3.189 0.000 2.077
3.189 0.000 9.010
0.000 3.189 2.077
0.000 3.189 9.010
1.644 4.734 4.117
0.000 0.000 8.425
1.644 4.734 6.970
4.734 1.644 6.970
0.000 0.000 2.661
4.734 4.734 6.970
1.876 1.876 0.000
3.189 3.189 8.841
4.734 1.644 4.117
1.644 1.644 4.117
4.502 4.502 0.000
4.734 4.734 4.117
1.644 1.644 6.970
1.876 4.502 0.000
4.502 1.876 0.000
3.189 3.189 2.245
0.000 3.189 5.543
3.189 0.000 5.543
0.000 0.000 0.000
```